# GdPaCo2 PBE-GGA optimized geometry
data_GdPaCo2
_chemical_formula_sum 'Gd1 Pa1 Co2'
_symmetry_space_group_name_H-M 'P 1'
_symmetry_Int_Tables_number 1
_symmetry_space_group_name_Hall 'P 1'
_cell_length_a 3.3393
_cell_length_b 3.3393
_cell_length_c 6.8076
_cell_angle_alpha 90.00
_cell_angle_beta 90.00
_cell_angle_gamma 90.00
loop_
_atom_site_label
_atom_site_type_symbol
_atom_site_fract_x
_atom_site_fract_y
_atom_site_fract_z
Gd1 Gd 0.0000 0.0000 0.0000
Pa1 Pa 0.0000 0.0000 0.5000
Co1 Co 0.5000 0.5000 0.3025
Co2 Co 0.5000 0.5000 0.6975
# E: -9.693 eV per atom
# M_tot: 1.785 μB/atom
# Formation energy: -0.25 eV per atom